Record 1
CuB2Mo | PBE | relaxed

Cell lengths 3.8929, 3.8929, 3.8929 Å; angles 60.00, 60.00, 60.00 degrees
Last column: nearest neighbours and their distance in Å.
Element x y z (fractional)
B1 0.0000 0.0000 0.0000  4 Mo 2.38, 4 B 2.38
B2 0.7500 0.7500 0.7500  4 Cu 2.38, 4 B 2.38
Cu1 0.5000 0.5000 0.5000  4 Mo 2.38, 4 B 2.38
Mo1 0.2500 0.2500 0.2500  4 Cu 2.38, 4 B 2.38

## Properties
Crystal system: cubic
Uncorrected energy in eV/atom: -5.81
Magnetic moment in μB/f.u.: 0.1

Record 2
CsPrPd | PBE | relaxed

Cell lengths 5.1664, 5.1664, 5.1664 Å; angles 60.00, 60.00, 60.00 degrees
Last column: nearest neighbours and their distance in Å.
Element x y z (fractional)
Cs1 0.2500 0.2500 0.2500  4 Pr 3.16
Pd1 0.7500 0.7500 0.7500  4 Pr 3.16
Pr1 0.0000 0.0000 0.0000  4 Pd 3.16, 4 Cs 3.16

## Properties
Crystal system: cubic
Polymorph energy (0 for the lowest one) in meV/atom: 0
Magnetic moment in μB/f.u.: 0.0

Record 3
FeH20PbC14I3N | PBE | relaxed

Cell lengths 13.7319, 13.7319, 7.9206 Å; angles 93.32, 93.32, 43.00 degrees
Last column: nearest neighbours and their distance in Å.
Element x y z (fractional)
C1 0.0397 0.4710 0.0024  1 H 1.09
C2 0.5624 0.0329 0.0610  1 H 1.09
C3 0.8253 0.0128 0.0748  3 H 1.09-1.10
C4 0.6171 0.8292 0.0856  1 H 1.09
C5 0.6729 0.9458 0.1904  3 C 1.44-1.49
C6 0.7063 0.8194 0.2039  1 H 1.09
C7 0.9832 0.7819 0.2107  3 H 1.10
C8 0.7304 0.9852 0.3034  2 H 1.10
C9 0.3101 0.0743 0.3119  1 H 1.09
C10 0.2968 0.1883 0.3154  1 H 1.09
C11 0.9059 0.9862 0.3682  3 H 1.10
C12 0.4204 0.9702 0.4315  1 H 1.09
C13 0.3979 0.1552 0.4382  1 H 1.09
C14 0.9794 0.5258 0.4903  1 H 1.09
C15 0.4742 0.0206 0.5097  1 H 1.09
C16 0.8448 0.6021 0.5618  1 H 1.09
C17 0.0298 0.5796 0.5685  1 H 1.09
C18 0.0138 0.0941 0.6318  3 H 1.10
C19 0.8117 0.7032 0.6846  1 H 1.09
C20 0.9257 0.6899 0.6881  1 H 1.09
C21 0.0148 0.2696 0.6966  2 H 1.10
C22 0.2181 0.0168 0.7893  3 H 1.10
C23 0.1806 0.2937 0.7961  1 H 1.09
C24 0.0542 0.3271 0.8096  3 C 1.44-1.49
C25 0.1708 0.3829 0.9144  1 H 1.09
C26 0.9872 0.1747 0.9252  3 H 1.09-1.10
C27 0.9671 0.4376 0.9390  1 H 1.09
C28 0.5290 0.9603 0.9976  1 H 1.09
Fe1 0.4986 0.9996 0.2536  10 C 2.01-2.05
Fe2 0.0004 0.5014 0.7464  10 C 2.01-2.05
H1 0.0221 0.2057 0.0204  1 C 1.09
H2 0.5112 0.1371 0.0237  1 C 1.09
H3 0.9197 0.9823 0.0337  1 C 1.10
H4 0.6126 0.7533 0.0686  1 C 1.09
H5 0.7363 0.1287 0.0953  1 C 1.10
H6 0.9998 0.5525 0.0982  1 C 1.09
H7 0.9499 0.7490 0.1160  1 C 1.10
H8 0.0751 0.7544 0.1659  1 C 1.10
H9 0.2515 0.0642 0.2296  1 C 1.09
H10 0.2273 0.2801 0.2339  1 C 1.09
H11 0.7816 0.7350 0.2943  1 C 1.09
H12 0.6506 0.1015 0.3244  1 C 1.10
H13 0.0053 0.9470 0.3285  1 C 1.10
H14 0.0110 0.7298 0.3309  1 C 1.10
H15 0.8204 0.1032 0.3791  1 C 1.10
H16 0.0358 0.4387 0.3975  1 C 1.09
H17 0.7646 0.9340 0.4264  1 C 1.10
H18 0.4596 0.8685 0.4535  1 C 1.09
H19 0.4161 0.2194 0.4682  1 C 1.09
H20 0.9242 0.9391 0.4890  1 C 1.10
H21 0.0609 0.0758 0.5110  1 C 1.10
H22 0.7806 0.5839 0.5318  1 C 1.09
H23 0.1315 0.5404 0.5465  1 C 1.09
H24 0.0660 0.2354 0.5736  1 C 1.10
H25 0.5613 0.9642 0.6025  1 C 1.09
H26 0.8968 0.1796 0.6209  1 C 1.10
H27 0.2702 0.9890 0.6691  1 C 1.10
H28 0.0530 0.9947 0.6715  1 C 1.10
H29 0.8985 0.3494 0.6756  1 C 1.10
H30 0.2650 0.2184 0.7057  1 C 1.09
H31 0.7199 0.7727 0.7661  1 C 1.09
H32 0.9358 0.7485 0.7704  1 C 1.09
H33 0.2456 0.9249 0.8341  1 C 1.10
H34 0.2510 0.0501 0.8840  1 C 1.10
H35 0.4475 0.0002 0.9018  1 C 1.09
H36 0.8713 0.2637 0.9047  1 C 1.10
H37 0.2467 0.3874 0.9314  1 C 1.09
H38 0.0177 0.0803 0.9663  1 C 1.10
H39 0.8629 0.4888 0.9763  1 C 1.09
H40 0.7943 0.9779 0.9796  1 C 1.09
I1 0.3781 0.4220 0.2304  5 H 3.12-3.26, 2 Pb 3.23
I2 0.2843 0.8101 0.2450  2 H 2.87-3.19
I3 0.7332 0.3819 0.2743  4 H 3.21-3.46, 2 Pb 3.23-3.28
I4 0.6181 0.2668 0.7257  4 H 3.21-3.46, 2 Pb 3.23-3.28
I5 0.1899 0.7157 0.7550  2 H 2.87-3.19
I6 0.5780 0.6219 0.7696  5 H 3.12-3.26, 2 Pb 3.23
N1 0.8621 0.9404 0.2375  4 C 1.50-1.54
N2 0.0596 0.1379 0.7625  4 C 1.50-1.54
Pb1 0.4699 0.5301 0.0000  6 I 3.23-3.28
Pb2 0.4593 0.5407 0.5000  6 I 3.23-3.29

## Properties
Crystal system: monoclinic
Uncorrected energy in eV/atom: -5.66
Magnetic moment in μB/f.u.: 0.0

Record 4
SrTmTe2AuSe | PBE | relaxed

Cell lengths 7.6684, 7.6684, 10.7163 Å; angles 90.00, 90.00, 147.78 degrees
Last column: nearest neighbours and their distance in Å.
Element x y z (fractional)
Au1 0.9710 0.0290 0.2500  2 Se 2.68, 2 Te 2.75
Au2 0.0290 0.9710 0.7500  2 Se 2.68, 2 Te 2.75
Se1 0.5817 0.4183 0.2500  2 Au 2.68, 2 Tm 2.94
Se2 0.4183 0.5817 0.7500  2 Au 2.68, 2 Tm 2.94
Sr1 0.2425 0.7575 0.2500  2 Se 3.18, 6 Te 3.42-3.52
Sr2 0.7575 0.2425 0.7500  2 Se 3.18, 6 Te 3.42-3.52
Te1 0.8531 0.1469 0.0511  1 Au 2.75
Te2 0.8531 0.1469 0.4489  1 Au 2.75
Te3 0.1469 0.8531 0.5511  1 Au 2.75
Te4 0.1469 0.8531 0.9489  1 Au 2.75
Tm1 0.5000 0.5000 0.0000  2 Se 2.94, 4 Te 3.08
Tm2 0.5000 0.5000 0.5000  2 Se 2.94, 4 Te 3.08

## Properties
Crystal system: orthorhombic
Uncorrected energy in eV/atom: -4.44
Magnetic moment in μB/f.u.: 0.0

Record 5
YCoPt2 | PBE | relaxed

Cell lengths 4.5850, 4.5850, 4.5850 Å; angles 60.00, 60.00, 60.00 degrees
Last column: nearest neighbours and their distance in Å.
Element x y z (fractional)
Co1 0.2500 0.2500 0.2500  4 Y 2.81, 4 Pt 2.81
Pt1 0.0000 0.0000 0.0000  4 Co 2.81, 4 Pt 2.81
Pt2 0.7500 0.7500 0.7500  4 Y 2.81, 4 Pt 2.81
Y1 0.5000 0.5000 0.5000  4 Co 2.81, 4 Pt 2.81

## Properties
Crystal system: cubic
ΔH_f (0 K) in meV/atom: -380
Magnetic moment in μB/f.u.: 1.5

Record 6
MgNb2O4 | PBE | relaxed

Cell lengths 6.1426, 6.1426, 6.1426 Å; angles 120.00, 90.01, 120.00 degrees
Last column: nearest neighbours and their distance in Å.
Element x y z (fractional)
Mg1 0.0000 0.0000 0.0000  4 O 1.89
Mg2 0.7500 0.5000 0.2500  4 O 1.89
Nb1 0.3750 0.7500 0.1250  6 O 2.17
Nb2 0.8750 0.2500 0.6250  6 O 2.17
Nb3 0.3750 0.7500 0.6250  6 O 2.17
Nb4 0.3750 0.2500 0.6250  6 O 2.17
O1 0.1273 0.7515 0.3757  1 Mg 1.89
O2 0.6242 0.2484 0.3757  1 Mg 1.89
O3 0.6243 0.7515 0.3758  1 Mg 1.89
O4 0.1257 0.2516 0.3773  1 Mg 1.89
O5 0.6243 0.2484 0.8727  1 Mg 1.89
O6 0.1257 0.7484 0.8742  1 Mg 1.89
O7 0.1258 0.2516 0.8743  1 Mg 1.89
O8 0.6227 0.7484 0.8743  1 Mg 1.89

## Properties
Crystal system: cubic
Uncorrected energy in eV/atom: -8.18
Magnetic moment in μB/f.u.: 0.0

Record 7
CdTePtO | PBE | relaxed

Cell lengths 3.6986, 3.6986, 11.6487 Å; angles 90.00, 90.00, 90.00 degrees
Last column: nearest neighbours and their distance in Å.
Element x y z (fractional)
Cd1 0.7500 0.7500 0.4038  1 O 2.22
Cd2 0.2500 0.2500 0.5962  1 O 2.22
O1 0.2500 0.2500 0.4055  1 Cd 2.22
O2 0.7500 0.7500 0.5945  1 Cd 2.22
Pt1 0.7500 0.2500 0.0000  4 Pt 2.62, 4 Te 2.75
Pt2 0.2500 0.7500 0.0000  4 Pt 2.62, 4 Te 2.75
Te1 0.2500 0.2500 0.1742  1 O 2.69, 4 Pt 2.75
Te2 0.7500 0.7500 0.8258  1 O 2.69, 4 Pt 2.75

## Properties
Crystal system: tetragonal
Polymorph energy (0 for the lowest one) in meV/atom: 247
Magnetic moment in μB/f.u.: 0.0

Record 8
Dy2Er2O5 | PBE | relaxed

Cell lengths 9.4983, 3.8636, 3.8636 Å; angles 90.00, 90.00, 90.00 degrees
Last column: nearest neighbours and their distance in Å.
Element x y z (fractional)
Dy1 0.2409 0.5000 0.5000  4 O 2.15
Dy2 0.7591 0.5000 0.5000  4 O 2.15
Er1 0.0000 0.0000 0.0000  8 O 2.36
Er2 0.5000 0.0000 0.0000  4 O 2.73
O1 0.1421 0.5000 0.0000  2 Dy 2.15, 2 Er 2.36
O2 0.8579 0.5000 0.0000  2 Dy 2.15, 2 Er 2.36
O3 0.1421 0.0000 0.5000  2 Dy 2.15, 2 Er 2.36
O4 0.8579 0.0000 0.5000  2 Dy 2.15, 2 Er 2.36
O5 0.5000 0.5000 0.5000  2 Dy 2.46, 4 Er 2.73

## Properties
Crystal system: tetragonal
Polymorph energy (0 for the lowest one) in meV/atom: 34
Magnetic moment in μB/f.u.: 1.2

Record 9
IrOF | PBE | relaxed

Cell lengths 4.0613, 3.1752, 5.5300 Å; angles 90.00, 90.00, 90.00 degrees
Last column: nearest neighbours and their distance in Å.
Element x y z (fractional)
F1 0.0000 0.0000 0.3988  2 Ir 2.06
F2 0.5000 0.5000 0.6012  2 Ir 2.06
Ir1 0.0000 0.5000 0.1603  4 O 2.06-2.08, 2 F 2.06
Ir2 0.5000 0.0000 0.8397  4 O 2.06-2.08, 2 F 2.06
O1 0.5000 0.5000 0.0763  4 Ir 2.06-2.08
O2 0.0000 0.0000 0.9237  4 Ir 2.06-2.08

## Properties
Crystal system: orthorhombic
Polymorph energy (0 for the lowest one) in meV/atom: 43
Magnetic moment in μB/f.u.: 0.0

Record 10
HfInHg3O4 | PBE | relaxed

Cell lengths 5.9972, 5.9972, 5.9972 Å; angles 90.00, 90.00, 90.00 degrees
Last column: nearest neighbours and their distance in Å.
Element x y z (fractional)
Hf1 0.5000 0.5000 0.5000  4 O 2.00
Hg1 0.5000 0.5000 0.0000  4 O 2.46
Hg2 0.5000 0.0000 0.5000  4 O 2.46
Hg3 0.0000 0.5000 0.5000  4 O 2.46
In1 0.0000 0.0000 0.0000  4 O 3.20
O1 0.3078 0.3078 0.3078  1 Hf 2.00
O2 0.6922 0.6922 0.3078  1 Hf 2.00
O3 0.6922 0.3078 0.6922  1 Hf 2.00
O4 0.3078 0.6922 0.6922  1 Hf 2.00

## Properties
Crystal system: cubic
Uncorrected energy in eV/atom: -4.59
Magnetic moment in μB/f.u.: 0.0

| no. | ρ (g/cm3) |
| --- | --- |
| 1 | 7.2 |
| 2 | 6.5 |
| 3 | 2.8 |
| 4 | 7.8 |
| 5 | 13.1 |
| 6 | 5.6 |
| 7 | 9.4 |
| 8 | 8.7 |
| 9 | 10.6 |
| 10 | 7.4 |